Dy7CoBr12 | PBE-GGA | optimized geometry

**Space-group type**: R-3, No. 148
**Energy**: -90.801 eV for the cell shown

Lattice parameters (Å, degrees): 9.196 9.196 9.196 106.62 106.62 106.62
Fractional positions:
Dy  0.000  0.000  0.000
Dy  0.200  0.402  0.481
Dy  0.402  0.481  0.200
Dy  0.481  0.200  0.402
Dy  0.519  0.800  0.598
Dy  0.598  0.519  0.800
Dy  0.800  0.598  0.519
Co  0.500  0.500  0.500
Br  0.038  0.333  0.116
Br  0.116  0.038  0.333
Br  0.175  0.720  0.570
Br  0.280  0.430  0.825
Br  0.333  0.116  0.038
Br  0.430  0.825  0.280
Br  0.570  0.175  0.720
Br  0.667  0.884  0.962
Br  0.720  0.570  0.175
Br  0.825  0.280  0.430
Br  0.884  0.962  0.667
Br  0.962  0.667  0.884